Record 1
## AlFe (PBE)

Data for a relaxed AlFe crystal.

abc: 2.8742 2.8742 2.8742
angles: 90.00 90.00 90.00
Closest atoms and distances in Å follow each position.
Sites, in units of the cell vectors:
Fe 0.0000 0.0000 0.0000  8 Al 2.49
Al 0.5000 0.5000 0.5000  8 Fe 2.49

Results
- ΔE_f: -0.7 eV per formula unit
- Space-group type: Pm-3m, No. 221

=====

Record 2
## Al5Fe (PBE)

Data for a relaxed Al5Fe crystal.

abc: 3.1281 6.9875 8.3219
angles: 90.00 90.00 90.00
Closest atoms and distances in Å follow each position.
Sites, in units of the cell vectors:
Al 0.5000 0.6837 0.0438  2 Fe 2.49, 3 Al 2.67-2.73
Al 0.5000 0.3163 0.5438  2 Fe 2.49, 3 Al 2.67-2.73
Al 0.5000 0.1041 0.2500  2 Fe 2.57, 6 Al 2.70-2.86
Al 0.5000 0.8959 0.7500  2 Fe 2.57, 6 Al 2.70-2.86
Al 0.0000 0.5479 0.7500  1 Fe 2.52
Al 0.0000 0.0000 0.0000  2 Fe 2.46, 8 Al 2.70-2.73
Al 0.5000 0.3163 0.9562  2 Fe 2.49, 3 Al 2.67-2.73
Al 0.0000 0.4521 0.2500  1 Fe 2.52
Al 0.0000 0.0000 0.5000  2 Fe 2.46, 8 Al 2.70-2.73
Al 0.5000 0.6837 0.4562  2 Fe 2.49, 3 Al 2.67-2.73
Fe 0.0000 0.1874 0.7500  9 Al 2.46-2.57
Fe 0.0000 0.8126 0.2500  9 Al 2.46-2.57

Results
- ΔE_f: -1.0 eV per formula unit
- Space-group type: Pmma, No. 51

=====

Record 3
## AlFe5 (PBE)

Data for a relaxed AlFe5 crystal.

abc: 4.6713 4.6713 4.6713
angles: 60.00 60.00 60.00
Closest atoms and distances in Å follow each position.
Sites, in units of the cell vectors:
Fe 0.3752 0.3752 0.8743  6 Fe 2.33-2.34
Fe 0.3752 0.3752 0.3752  6 Fe 2.33-2.34
Fe 0.8743 0.3752 0.3752  6 Fe 2.33-2.34
Fe 0.3752 0.8743 0.3752  6 Fe 2.33-2.34
Fe 0.7500 0.7500 0.7500  12 Fe 2.74, 4 Al 2.86
Al 0.0000 0.0000 0.0000  16 Fe 2.74-2.86

Results
- Distance to the lowest polymorph of the same formula: 93 meV/atom
- ΔE_f: -0.2 eV per formula unit
- Space-group type: F-43m, No. 216

=====

Summary of E in eV for the cell shown
-12.86, -56.37, -46.22
(order as listed above)
Summary of total magnetic moment in μB per atom
0.38, 0.00, 1.60
(order as listed above)